! CeBeCo (PBE, optimized geometry); values from VASP
&SYSTEM
  ibrav = 0, nat = 12, ntyp = 3
/
ATOMIC_SPECIES
Ce 140.12 Ce.upf
Co 58.93 Co.upf
Be 9.01 Be.upf
ATOMIC_POSITIONS crystal
Ce 0.745 0.255 0.250
Ce 0.245 0.245 0.500
Ce 0.755 0.755 0.000
Ce 0.255 0.745 0.750
Co 0.443 0.443 0.000
Co 0.057 0.943 0.250
Co 0.557 0.557 0.500
Co 0.943 0.057 0.750
Be 0.308 0.692 0.250
Be 0.692 0.308 0.750
Be 0.192 0.192 0.000
Be 0.808 0.808 0.500
CELL_PARAMETERS angstrom
6.088 0.000 0.000
0.000 6.088 0.000
0.000 0.000 5.559
! * crystal system: tetragonal
! * ΔE to the lowest computed polymorph: 0.82 eV per formula unit
! * SG: P4_12_12 (92)
! * formation enthalpy at 0 K: 0.08 eV per atom
! * raw total energy: -5.5134 eV/atom
! * N(E_F): 0.953 states/eV/atom